[1]
This record from Alexandria via LeMat-Bulk describes a geometry-optimized Li3AlF6 structure. The functional is PBE.

space-group type = P2_1/c
offset from the most stable computed form = 24 meV/atom
uncorrected formation energy = -3090 kJ/mol of formula units
magnetic moment = 0.0 μB per formula unit
DOS at the Fermi energy = 0.00 states/eV per atom
crystal system = monoclinic

The structure in extended XYZ format:
```
20
Lattice="-4.526 -1.324 -1.633 -0.104 -3.822 3.385 -3.228 4.592 5.086" Properties=species:S:1:pos:R:3 pbc="T T T"
Li -4.869 -0.816 6.339
Li -2.315 -2.573 0.876
Li -2.989 0.262 0.499
Li -0.948 -0.831 3.179
Li -1.614 2.296 2.543
Li -6.910 0.277 3.659
Al -3.929 -0.277 3.419
Al 0.000 0.000 0.000
F -6.227 2.775 4.312
F -4.911 1.040 2.608
F -3.788 -1.130 1.796
F -4.070 0.576 5.042
F -2.947 -1.594 4.229
F -1.631 -3.330 2.526
F -2.365 0.588 3.075
F -1.043 -0.933 1.182
F -3.104 3.080 4.046
F -4.753 -3.634 2.791
F -6.815 0.379 5.655
F -5.493 -1.142 3.762
```

***

[2]
This record from Alexandria via LeMat-Bulk describes a geometry-optimized ReP4Ir structure. The functional is PBE.

space-group type = F-43m
magnetic moment = 0.0 μB per formula unit
DOS at the Fermi energy = 0.48 states/eV per atom
DFT formation energy = 94 kJ per mole of atoms
crystal system = cubic

The structure in extended XYZ format:
```
6
Lattice="0.000 3.453 3.453 3.453 0.000 3.453 3.453 3.453 0.000" Properties=species:S:1:pos:R:3 pbc="T T T"
Re 5.180 5.180 5.180
P 2.590 4.317 4.317
P 4.317 4.317 2.590
P 4.317 2.590 4.317
P 2.590 2.590 2.590
Ir 0.000 0.000 0.000
```

***

[3]
This record from Alexandria via LeMat-Bulk describes a geometry-optimized HfTeH structure. The functional is PBE.

space-group type = C2/m
magnetic moment = 0.0 μB per formula unit
DOS at the Fermi energy = 0.48 states/eV per atom
crystal system = monoclinic
E = -71.86 eV for the cell shown

The structure in extended XYZ format:
```
12
Lattice="3.503 0.000 0.000 0.000 6.535 -0.174 -1.752 -0.995 10.350" Properties=species:S:1:pos:R:3 pbc="T T T"
Hf 1.752 3.559 3.787
Hf 0.000 5.270 6.166
Hf 0.000 1.981 6.389
Hf 1.752 0.270 4.011
Te 1.752 3.733 7.946
Te 1.752 5.119 1.446
Te 0.000 0.422 8.731
Te 0.000 1.807 2.230
H 1.752 1.972 5.178
H 0.000 0.372 5.135
H 0.000 3.568 4.999
H 1.752 5.168 5.041
```

***

[4]
This record from Alexandria via LeMat-Bulk describes a geometry-optimized Ba2TcW structure. The functional is PBE.

space-group type = Cmmm
offset from the most stable computed form = 1073 meV/atom
magnetic moment = 0.0 μB per formula unit
DOS at the Fermi energy = 0.79 states/eV per atom
DFT formation energy = 153 kJ per mole of atoms
crystal system = orthorhombic

The structure in extended XYZ format:
```
4
Lattice="-0.207 4.948 4.520 -5.086 -3.835 -0.007 0.566 -0.758 2.858" Properties=species:S:1:pos:R:3 pbc="T T T"
Ba 0.000 0.000 0.000
Ba 0.180 2.095 3.689
Tc -2.260 -2.296 1.426
W -2.646 0.557 2.257
```

***

[5]
This record from Alexandria via LeMat-Bulk describes a geometry-optimized Sc2Zn2Cd3 structure. The functional is PBE.

space-group type = C2/m
offset from the most stable computed form = 14 meV/atom
magnetic moment = 0.0 μB per formula unit
DOS at the Fermi energy = 0.97 states/eV per atom
DFT formation energy = -18 kJ per mole of atoms
crystal system = monoclinic

The structure in extended XYZ format:
```
7
Lattice="-2.343 -3.356 -1.476 5.260 -0.082 -1.753 0.778 -3.067 5.739" Properties=species:S:1:pos:R:3 pbc="T T T"
Sc 0.064 -3.163 0.676
Sc 3.631 -3.342 1.834
Zn 1.308 -2.290 3.130
Zn 2.387 -4.215 -0.620
Cd 2.574 -1.523 -0.624
Cd 0.000 0.000 0.000
Cd 1.121 -4.982 3.134
```

***

[6]
This record from Alexandria via LeMat-Bulk describes a geometry-optimized Pm2H5Pt2 structure. The functional is PBE.

space-group type = C2/m
magnetic moment = 0.0 μB per formula unit
DOS at the Fermi energy = 0.19 states/eV per atom
crystal system = monoclinic
E = -43.84 eV for the cell shown

The structure in extended XYZ format:
```
9
Lattice="-1.934 0.984 3.093 -4.169 -1.748 -2.051 2.295 -5.724 0.949" Properties=species:S:1:pos:R:3 pbc="T T T"
Pm -1.632 -1.324 1.708
Pm -2.176 -5.164 0.282
H -3.786 -1.726 0.489
H -0.022 -4.762 1.501
H -2.296 -3.559 2.005
H -1.513 -2.928 -0.014
H 0.000 0.000 0.000
Pt -1.046 -4.309 3.025
Pt -2.763 -2.178 -1.034
```

***

[7]
This record from Alexandria via LeMat-Bulk describes a geometry-optimized Tm8Zn2Ir structure. The functional is PBE.

space-group type = Cm
offset from the most stable computed form = 78 meV/atom
magnetic moment = 0.0 μB per formula unit
DOS at the Fermi energy = 1.08 states/eV per atom
DFT formation energy = -23 kJ per mole of atoms
crystal system = monoclinic

The structure in extended XYZ format:
```
11
Lattice="-1.166 -1.526 -5.723 -5.501 -4.825 4.554 0.675 8.588 -0.282" Properties=species:S:1:pos:R:3 pbc="T T T"
Tm -2.826 -1.543 -1.964
Tm -1.360 1.641 -3.111
Tm -1.482 0.851 0.468
Tm -1.684 4.494 -4.998
Tm -5.472 -3.733 -2.032
Tm -4.337 1.519 -1.325
Tm -4.596 0.762 1.978
Tm -3.177 3.843 0.868
Zn -4.351 -1.771 0.493
Zn -1.639 4.119 -1.630
Ir -0.363 -0.401 -1.575
```

***

[8]
This record from Alexandria via LeMat-Bulk describes a geometry-optimized Li3PuBi2S6 structure. The functional is PBE.

space-group type = C2/m
uncorrected formation energy = -1142 kJ/mol of formula units
magnetic moment = 5.0 μB per formula unit
DOS at the Fermi energy = 1.00 states/eV per atom
crystal system = monoclinic

The structure in extended XYZ format:
```
12
Lattice="6.907 -0.003 0.004 -3.454 5.981 0.004 -1.150 -1.991 6.271" Properties=species:S:1:pos:R:3 pbc="T T T"
Li -2.199 3.929 3.139
Li 4.502 0.059 3.139
Li 1.151 1.994 3.139
Pu 0.000 0.000 0.000
Bi 0.011 3.980 0.004
Bi 3.442 1.998 0.004
S 3.437 2.022 4.644
S 2.315 4.008 1.632
S -1.134 1.966 1.634
S 0.033 3.987 4.644
S -0.012 -0.021 4.647
S 2.269 0.000 1.634
```

***

[9]
This record from Alexandria via LeMat-Bulk describes a geometry-optimized Sc4CuPdRh2 structure. The functional is PBE.

space-group type = R-3m
magnetic moment = 0.0 μB per formula unit
DOS at the Fermi energy = 0.65 states/eV per atom
DFT formation energy = -77 kJ per mole of atoms
crystal system = trigonal

The structure in extended XYZ format:
```
8
Lattice="-1.416 3.733 2.319 -1.681 -0.440 4.277 5.899 1.979 5.013" Properties=species:S:1:pos:R:3 pbc="T T T"
Sc 3.983 2.964 6.853
Sc -0.481 3.626 7.658
Sc 3.282 1.646 3.951
Sc -1.181 2.308 4.756
Cu 1.401 2.636 5.805
Pd 0.000 0.000 0.000
Rh 2.098 3.954 8.706
Rh 0.703 1.318 2.903
```

***

[10]
This record from Alexandria via LeMat-Bulk describes a geometry-optimized Y3As structure. The functional is PBE.

space-group type = Pm-3m
offset from the most stable computed form = 224 meV/atom
magnetic moment = 0.0 μB per formula unit
DOS at the Fermi energy = 0.92 states/eV per atom
DFT formation energy = -38 kJ per mole of atoms
crystal system = cubic

The structure in extended XYZ format:
```
4
Lattice="4.661 -0.011 0.000 0.007 4.661 0.000 0.000 0.000 4.654" Properties=species:S:1:pos:R:3 pbc="T T T"
Y 0.004 2.330 2.327
Y 2.330 -0.005 2.327
Y 2.334 2.325 0.000
As 0.000 0.000 0.000
```

***

[11]
This record from Alexandria via LeMat-Bulk describes a geometry-optimized GaGeSN2 structure. The functional is PBE.

space-group type = P4/mmm
offset from the most stable computed form = 0 meV/atom
uncorrected formation energy = 453 kJ/mol of formula units
magnetic moment = 0.0 μB per formula unit
DOS at the Fermi energy = 0.48 states/eV per atom
crystal system = tetragonal

The structure in extended XYZ format:
```
5
Lattice="3.635 0.000 0.000 0.000 3.635 0.000 0.000 0.000 6.032" Properties=species:S:1:pos:R:3 pbc="T T T"
Ge 0.000 0.000 0.000
S 0.000 0.000 3.016
Ga 1.818 1.818 3.016
N 0.000 1.818 0.000
N 1.818 0.000 0.000
```

***

[12]
This record from Alexandria via LeMat-Bulk describes a geometry-optimized Cu2SiBr structure. The functional is PBE.

space-group type = Pmmm
offset from the most stable computed form = 572 meV/atom
uncorrected formation energy = 192 kJ/mol of formula units
magnetic moment = 0.0 μB per formula unit
DOS at the Fermi energy = 0.34 states/eV per atom
crystal system = orthorhombic

The structure in extended XYZ format:
```
4
Lattice="-0.068 3.042 0.894 -5.772 -0.190 0.205 0.170 -1.104 3.770" Properties=species:S:1:pos:R:3 pbc="T T T"
Br -2.801 -0.647 1.987
Cu 0.000 0.000 0.000
Cu -2.920 1.426 0.549
Si 0.051 0.969 2.332
```